Record 1
This record from OQMD via LeMat-Bulk describes a relaxed structure of DyScCd. The functional is PBE.

abc: 4.9261 4.9261 4.9261
angles: 60.00 60.00 60.00
Positions (direct):
1 Dy 0.0000 0.0000 0.0000
2 Sc 0.7500 0.7500 0.7500
3 Cd 0.5000 0.5000 0.5000

- Total energy: -3.48 eV/atom
- Crystal system: cubic
- Formation energy: 1.37 eV/f.u.

Record 2
This record from OQMD via LeMat-Bulk describes a relaxed structure of DyTlCdSe3. The functional is PBE.

abc: 7.6581 7.6581 11.1027
angles: 90.00 90.00 147.97
Positions (direct):
1 Dy 0.0000 0.0000 0.0000
2 Dy 0.0000 0.0000 0.5000
3 Tl 0.2517 0.7483 0.7500
4 Tl 0.7483 0.2517 0.2500
5 Cd 0.4568 0.5432 0.2500
6 Cd 0.5432 0.4568 0.7500
7 Se 0.0712 0.9288 0.2500
8 Se 0.3680 0.6320 0.0457
9 Se 0.3680 0.6320 0.4543
10 Se 0.6320 0.3680 0.5457
11 Se 0.6320 0.3680 0.9543
12 Se 0.9288 0.0712 0.7500

- Total energy: -4.13 eV/atom
- Crystal system: orthorhombic

Record 3
This record from OQMD via LeMat-Bulk describes a relaxed structure of DyTlCdSe3. The functional is PBE.

abc: 11.1358 4.2385 14.8784
angles: 90.00 90.00 90.00
Positions (direct):
1 Dy 0.0109 0.2500 0.2474
2 Dy 0.4891 0.7500 0.7474
3 Dy 0.5109 0.2500 0.2526
4 Dy 0.9891 0.7500 0.7526
5 Tl 0.2339 0.7500 0.5035
6 Tl 0.2661 0.2500 0.0035
7 Tl 0.7339 0.7500 0.9965
8 Tl 0.7661 0.2500 0.4965
9 Cd 0.2403 0.2500 0.7142
10 Cd 0.2597 0.7500 0.2142
11 Cd 0.7403 0.2500 0.7858
12 Cd 0.7597 0.7500 0.2858
13 Se 0.0382 0.2500 0.6235
14 Se 0.0614 0.7500 0.1203
15 Se 0.2397 0.7500 0.8249
16 Se 0.2603 0.2500 0.3249
17 Se 0.4386 0.2500 0.6203
18 Se 0.4618 0.7500 0.1235
19 Se 0.5382 0.2500 0.8765
20 Se 0.5614 0.7500 0.3797
21 Se 0.7397 0.7500 0.6751
22 Se 0.7603 0.2500 0.1751
23 Se 0.9386 0.2500 0.8797
24 Se 0.9618 0.7500 0.3765

- Total energy: -4.13 eV/atom
- Crystal system: orthorhombic

Record 4
This record from OQMD via LeMat-Bulk describes a relaxed structure of Dy2YCd4Si4. The functional is PBE.

abc: 13.6031 13.6031 13.6031
angles: 162.77 161.79 25.17
Positions (direct):
1 Dy 0.1418 0.1418 0.0000
2 Dy 0.8582 0.8582 0.0000
3 Y 0.5000 0.0000 0.5000
4 Cd 0.2485 0.7485 0.5000
5 Cd 0.4086 0.4086 0.0000
6 Cd 0.5914 0.5914 0.0000
7 Cd 0.7515 0.2515 0.5000
8 Si 0.0435 0.5435 0.5000
9 Si 0.3153 0.3153 0.0000
10 Si 0.6847 0.6847 0.0000
11 Si 0.9565 0.4565 0.5000

- Total energy: -4.01 eV/atom
- Crystal system: orthorhombic

Record 5
This record from OQMD via LeMat-Bulk describes a relaxed structure of Sm3DyCd2. The functional is PBE.

abc: 5.3570 5.3570 6.9581
angles: 90.00 90.00 120.00
Positions (direct):
1 Sm 0.0000 0.0000 0.0000
2 Sm 0.3333 0.6667 0.2539
3 Sm 0.6667 0.3333 0.7461
4 Dy 0.0000 0.0000 0.5000
5 Cd 0.3333 0.6667 0.7473
6 Cd 0.6667 0.3333 0.2527

- Total energy: -3.61 eV/atom
- Crystal system: trigonal
- Formation energy: -1.14 eV/f.u.

Record 6
This record from OQMD via LeMat-Bulk describes a relaxed structure of SmDyCd. The functional is PBE.

abc: 5.0618 5.0618 5.0618
angles: 60.00 60.00 60.00
Positions (direct):
1 Sm 0.0000 0.0000 0.0000
2 Dy 0.7500 0.7500 0.7500
3 Cd 0.5000 0.5000 0.5000

- Total energy: -2.94 eV/atom
- Crystal system: cubic
- E above lowest polymorph: 0.00 eV/f.u.
- Formation energy: 1.38 eV/f.u.

Record 7
This record from OQMD via LeMat-Bulk describes a relaxed structure of SmDyTl2Cd2. The functional is PBE.

abc: 4.9033 4.9033 7.5435
angles: 90.00 90.00 120.00
Positions (direct):
1 Sm 0.0000 0.0000 0.0000
2 Dy 0.0000 0.0000 0.5004
3 Tl 0.3333 0.6667 0.7902
4 Tl 0.6667 0.3333 0.2952
5 Cd 0.3333 0.6667 0.2124
6 Cd 0.6667 0.3333 0.7060

- Total energy: -2.97 eV/atom
- Crystal system: trigonal

Record 8
This record from OQMD via LeMat-Bulk describes a relaxed structure of SrDyCd. The functional is PBE.

abc: 5.3629 5.3629 5.3629
angles: 60.00 60.00 60.00
Positions (direct):
1 Sr 0.0000 0.0000 0.0000
2 Dy 0.5000 0.5000 0.5000
3 Cd 0.7500 0.7500 0.7500

- Total energy: -2.28 eV/atom
- Crystal system: cubic
- E above lowest polymorph: 0.00 eV/f.u.

Record 9
This record from OQMD via LeMat-Bulk describes a relaxed structure of Dy2ThCd. The functional is PBE.

abc: 3.5997 3.5997 8.8347
angles: 90.00 90.00 90.00
Positions (direct):
1 Dy 0.0000 0.0000 0.2306
2 Dy 0.0000 0.0000 0.7694
3 Th 0.5000 0.5000 0.5000
4 Cd 0.5000 0.5000 0.0000

- Total energy: -4.56 eV/atom
- Crystal system: tetragonal
- Formation energy: -0.71 eV/f.u.

Record 10
This record from OQMD via LeMat-Bulk describes a relaxed structure of DyThCd. The functional is PBE.

abc: 5.1282 5.1282 5.1282
angles: 60.00 60.00 60.00
Positions (direct):
1 Dy 0.0000 0.0000 0.0000
2 Th 0.2500 0.2500 0.2500
3 Cd 0.7500 0.7500 0.7500

- Total energy: -3.63 eV/atom
- Crystal system: cubic
- Formation energy: 2.02 eV/f.u.

Record 11
This record from OQMD via LeMat-Bulk describes a relaxed structure of DyThCd4. The functional is PBE.

abc: 3.3979 5.0236 8.7277
angles: 90.00 90.00 90.00
Positions (direct):
1 Dy 0.0000 0.0000 0.0000
2 Th 0.0000 0.5000 0.5000
3 Cd 0.5000 0.0000 0.3277
4 Cd 0.5000 0.0000 0.6723
5 Cd 0.5000 0.5000 0.1619
6 Cd 0.5000 0.5000 0.8381

- Total energy: -2.85 eV/atom
- Crystal system: orthorhombic
- Formation energy: -1.53 eV/f.u.

Record 12
This record from OQMD via LeMat-Bulk describes a relaxed structure of DyTlCd. The functional is PBE.

abc: 4.9356 4.9356 4.9356
angles: 60.00 60.00 60.00
Positions (direct):
1 Dy 0.0000 0.0000 0.0000
2 Tl 0.7500 0.7500 0.7500
3 Cd 0.5000 0.5000 0.5000

- Total energy: -2.81 eV/atom
- Crystal system: cubic

Record 13
This record from OQMD via LeMat-Bulk describes a relaxed structure of Dy5Tl3Cd. The functional is PBE.

abc: 9.2789 9.2789 6.7205
angles: 90.00 90.00 120.00
Positions (direct):
1 Dy 0.0000 0.2876 0.2500
2 Dy 0.0000 0.7124 0.7500
3 Dy 0.2876 0.0000 0.2500
4 Dy 0.2876 0.2876 0.7500
5 Dy 0.3333 0.6667 0.0000
6 Dy 0.3333 0.6667 0.5000
7 Dy 0.6667 0.3333 0.0000
8 Dy 0.6667 0.3333 0.5000
9 Dy 0.7124 0.0000 0.7500
10 Dy 0.7124 0.7124 0.2500
11 Tl 0.0000 0.3735 0.7500
12 Tl 0.0000 0.6265 0.2500
13 Tl 0.3735 0.0000 0.7500
14 Tl 0.3735 0.3735 0.2500
15 Tl 0.6265 0.0000 0.2500
16 Tl 0.6265 0.6265 0.7500
17 Cd 0.0000 0.0000 0.0000
18 Cd 0.0000 0.0000 0.5000

- Total energy: -3.78 eV/atom
- Crystal system: hexagonal

Record 14
This record from OQMD via LeMat-Bulk describes a relaxed structure of Dy2TmTl2Zn3Cd. The functional is PBE.

abc: 4.5303 7.1970 7.1970
angles: 119.62 90.00 90.00
Positions (direct):
1 Dy 0.0000 0.2149 0.7851
2 Dy 0.0000 0.7851 0.2149
3 Tm 0.0000 0.3541 0.3541
4 Tl 0.5000 0.1194 0.4501
5 Tl 0.5000 0.4501 0.1194
6 Zn 0.5000 0.0132 0.0132
7 Zn 0.5000 0.5532 0.7844
8 Zn 0.5000 0.7844 0.5532
9 Cd 0.0000 0.7802 0.7802

- Total energy: -2.86 eV/atom
- Crystal system: orthorhombic

Record 15
This record from OQMD via LeMat-Bulk describes a relaxed structure of Dy2YTl2Zn3Cd. The functional is PBE.

abc: 4.5367 7.2470 7.2470
angles: 120.06 90.00 90.00
Positions (direct):
1 Dy 0.0000 0.2145 0.7855
2 Dy 0.0000 0.7855 0.2145
3 Y 0.0000 0.3569 0.3569
4 Tl 0.5000 0.1186 0.4524
5 Tl 0.5000 0.4524 0.1186
6 Zn 0.5000 0.0163 0.0163
7 Zn 0.5000 0.5552 0.7857
8 Zn 0.5000 0.7857 0.5552
9 Cd 0.0000 0.7864 0.7864

- Total energy: -3.10 eV/atom
- Crystal system: orthorhombic

Record 16
This record from OQMD via LeMat-Bulk describes a relaxed structure of DyTmCd6. The functional is PBE.

abc: 5.0363 7.1404 5.0367
angles: 90.00 90.00 90.00
Positions (direct):
1 Dy 0.0000 0.0000 0.0000
2 Tm 0.5000 0.5000 0.5075
3 Cd 0.0000 0.2527 0.4995
4 Cd 0.0000 0.5000 0.0002
5 Cd 0.0000 0.7473 0.4995
6 Cd 0.5000 0.0000 0.5066
7 Cd 0.5000 0.2527 0.0079
8 Cd 0.5000 0.7473 0.0079

- Total energy: -2.07 eV/atom
- Crystal system: orthorhombic
- E above lowest polymorph: 0.13 eV/f.u.
- Formation energy: -2.08 eV/f.u.

Record 17
This record from OQMD via LeMat-Bulk describes a relaxed structure of DyTmCd4. The functional is PBE.

abc: 3.3752 4.9363 8.5595
angles: 90.00 90.01 90.00
Positions (direct):
1 Dy 0.0000 0.0000 0.0000
2 Tm 0.0000 0.5000 0.5000
3 Cd 0.4953 0.0000 0.6662
4 Cd 0.4953 0.5000 0.1672
5 Cd 0.5047 0.0000 0.3338
6 Cd 0.5047 0.5000 0.8328

- Total energy: -2.42 eV/atom
- Crystal system: monoclinic
- Formation energy: -1.87 eV/f.u.

Record 18
This record from OQMD via LeMat-Bulk describes a relaxed structure of DyTmCd. The functional is PBE.

abc: 5.0651 5.0651 5.0651
angles: 60.00 60.00 60.00
Positions (direct):
1 Dy 0.0000 0.0000 0.0000
2 Tm 0.7500 0.7500 0.7500
3 Cd 0.5000 0.5000 0.5000

- Total energy: -2.81 eV/atom
- Crystal system: cubic
- Formation energy: 1.55 eV/f.u.

Record 19
This record from OQMD via LeMat-Bulk describes a relaxed structure of DyTmCd6. The functional is PBE.

abc: 4.8187 6.4238 6.4238
angles: 67.63 90.00 90.00
Positions (direct):
1 Dy 0.0000 0.0000 0.0000
2 Tm 0.5000 0.2636 0.2636
3 Cd 0.0000 0.4548 0.4548
4 Cd 0.0000 0.5122 0.9431
5 Cd 0.0000 0.9431 0.5122
6 Cd 0.5000 0.3209 0.7509
7 Cd 0.5000 0.7509 0.3209
8 Cd 0.5000 0.8080 0.8080

- Total energy: -2.08 eV/atom
- Crystal system: orthorhombic
- E above lowest polymorph: 0.00 eV/f.u.
- Formation energy: -2.20 eV/f.u.

Record 20
This record from OQMD via LeMat-Bulk describes a relaxed structure of DyTmCd6. The functional is PBE.

abc: 5.0360 5.0360 7.1404
angles: 90.00 90.00 90.00
Positions (direct):
1 Dy 0.0000 0.0000 0.0000
2 Tm 0.5000 0.5000 0.5000
3 Cd 0.0000 0.0000 0.5000
4 Cd 0.0000 0.5000 0.2521
5 Cd 0.0000 0.5000 0.7479
6 Cd 0.5000 0.0000 0.2521
7 Cd 0.5000 0.0000 0.7479
8 Cd 0.5000 0.5000 0.0000

- Total energy: -2.07 eV/atom
- Crystal system: tetragonal
- E above lowest polymorph: 0.13 eV/f.u.
- Formation energy: -2.08 eV/f.u.

Record 21
This record from OQMD via LeMat-Bulk describes a relaxed structure of DyCdW. The functional is PBE.

abc: 4.6913 4.6913 4.6913
angles: 60.00 60.00 60.00
Positions (direct):
1 Dy 0.0000 0.0000 0.0000
2 Cd 0.2500 0.2500 0.2500
3 W 0.5000 0.5000 0.5000

- Total energy: -5.03 eV/atom
- Crystal system: cubic
- Formation energy: 3.37 eV/f.u.

Record 22
This record from OQMD via LeMat-Bulk describes a relaxed structure of Dy2YCd5. The functional is PBE.

abc: 5.1240 6.3862 6.3862
angles: 71.23 90.00 90.00
Positions (direct):
1 Dy 0.0000 0.0000 0.0000
2 Dy 0.5000 0.2931 0.2931
3 Y 0.0000 0.5469 0.5469
4 Cd 0.0000 0.0409 0.5006
5 Cd 0.0000 0.5006 0.0409
6 Cd 0.5000 0.2868 0.7994
7 Cd 0.5000 0.7844 0.7844
8 Cd 0.5000 0.7994 0.2868

- Total energy: -2.82 eV/atom
- Crystal system: orthorhombic
- Formation energy: -2.43 eV/f.u.

Record 23
This record from OQMD via LeMat-Bulk describes a relaxed structure of DyYCd. The functional is PBE.

abc: 5.1143 5.1143 5.1143
angles: 60.00 60.00 60.00
Positions (direct):
1 Dy 0.0000 0.0000 0.0000
2 Y 0.2500 0.2500 0.2500
3 Cd 0.5000 0.5000 0.5000

- Total energy: -3.46 eV/atom
- Crystal system: cubic
- Formation energy: 1.57 eV/f.u.

Record 24
This record from OQMD via LeMat-Bulk describes a relaxed structure of Dy2ZnCd. The functional is PBE.

abc: 3.5879 3.5879 7.5187
angles: 90.00 90.00 90.00
Positions (direct):
1 Dy 0.0000 0.0000 0.2302
2 Dy 0.0000 0.0000 0.7698
3 Zn 0.5000 0.5000 0.0000
4 Cd 0.5000 0.5000 0.5000

- Total energy: -3.18 eV/atom
- Crystal system: tetragonal
- Formation energy: -1.36 eV/f.u.

Record 25
This record from OQMD via LeMat-Bulk describes a relaxed structure of ErCd3. The functional is PBE.

abc: 6.4308 6.4308 4.8271
angles: 90.00 90.00 112.66
Positions (direct):
1 Er 0.1322 0.8678 0.7500
2 Er 0.8678 0.1322 0.2500
3 Cd 0.1886 0.3801 0.7500
4 Cd 0.3233 0.6767 0.2500
5 Cd 0.3801 0.1886 0.2500
6 Cd 0.6199 0.8114 0.7500
7 Cd 0.6767 0.3233 0.7500
8 Cd 0.8114 0.6199 0.2500

- Total energy: -2.09 eV/atom
- Crystal system: orthorhombic
- Formation energy: -1.10 eV/f.u.

Record 26
This record from OQMD via LeMat-Bulk describes a relaxed structure of ErCd5. The functional is PBE.

abc: 5.7852 5.7852 5.7852
angles: 60.00 60.00 60.00
Positions (direct):
1 Er 0.0000 0.0000 0.0000
2 Cd 0.1241 0.6253 0.6253
3 Cd 0.2500 0.2500 0.2500
4 Cd 0.6253 0.1241 0.6253
5 Cd 0.6253 0.6253 0.1241
6 Cd 0.6253 0.6253 0.6253

- Total energy: -1.57 eV/atom
- Crystal system: cubic
- Formation energy: -0.40 eV/f.u.